Entry 1:
The following is a DFT calculation (PBE-GGA) of a relaxed structure of Nb2Pb2Br.

a = 7.2447 Å, b = 7.2447 Å, c = 7.2447 Å
α = 144.14°, β = 144.14°, γ = 51.61°
With the nearest neighbours (Å) after each atom.
Sites, in units of the cell vectors:
Nb  0.0923  0.0923  0.0000  1 Nb 2.41
Nb  0.9077  0.9077  0.0000  1 Nb 2.41
Pb  0.2500  0.7500  0.5000  4 Nb 3.03, 4 Pb 3.15
Pb  0.7500  0.2500  0.5000  4 Nb 3.03, 4 Pb 3.15
Br  0.5000  0.5000  0.0000  8 Nb 3.38

Properties
Space group = I4/mmm, No. 139
Formation energy from raw total energies = 0.747 eV/atom
DOS(E_F) = 5.78 states/eV per cell

=====

Entry 2:
The following is a DFT calculation (PBE-GGA) of a relaxed structure of NbPbBr3.

a = 5.3694 Å, b = 5.3694 Å, c = 5.3694 Å
α = 90.00°, β = 90.00°, γ = 90.00°
With the nearest neighbours (Å) after each atom.
Sites, in units of the cell vectors:
Nb  0.0000  0.0000  0.0000  6 Br 2.68
Pb  0.5000  0.5000  0.5000  12 Br 3.80
Br  0.0000  0.0000  0.5000  2 Nb 2.68
Br  0.0000  0.5000  0.0000  2 Nb 2.68
Br  0.5000  0.0000  0.0000  2 Nb 2.68

Properties
Space group = Pm-3m, No. 221
Formation energy from raw total energies = -0.125 eV/atom
DOS(E_F) = 4.28 states/eV per cell

=====

Entry 3:
The following is a DFT calculation (PBE-GGA) of a relaxed structure of Nb2Pb2Br.

a = 8.1415 Å, b = 8.1415 Å, c = 3.6041 Å
α = 90.00°, β = 90.00°, γ = 90.00°
With the nearest neighbours (Å) after each atom.
Sites, in units of the cell vectors:
Nb  0.1138  0.3862  0.0000  1 Nb 2.62
Nb  0.3862  0.8862  0.0000  1 Nb 2.62
Nb  0.6138  0.1138  0.0000  1 Nb 2.62
Nb  0.8862  0.6138  0.0000  1 Nb 2.62
Pb  0.1750  0.6750  0.5000  6 Nb 3.00-3.03
Pb  0.3250  0.1750  0.5000  6 Nb 3.00-3.03
Pb  0.6750  0.8250  0.5000  6 Nb 3.00-3.03
Pb  0.8250  0.3250  0.5000  6 Nb 3.00-3.03
Br  0.0000  0.0000  0.0000  4 Nb 3.28, 8 Pb 3.50, 2 Br 3.60
Br  0.5000  0.5000  0.0000  4 Nb 3.28, 8 Pb 3.50, 2 Br 3.60

Properties
Space group = P4/mbm, No. 127
Formation energy from raw total energies = 0.325 eV/atom
DOS(E_F) = 6.03 states/eV per cell

=====

Entry 4:
The following is a DFT calculation (PBE-GGA) of a relaxed structure of NbPbBr2.

a = 10.6106 Å, b = 10.6106 Å, c = 10.6106 Å
α = 18.58°, β = 18.58°, γ = 18.58°
With the nearest neighbours (Å) after each atom.
Sites, in units of the cell vectors:
Nb  0.0000  0.0000  0.0000  2 Br 2.50
Pb  0.5000  0.5000  0.5000  6 Br 3.36, 6 Pb 3.43
Br  0.0800  0.0800  0.0800  1 Nb 2.50
Br  0.9200  0.9200  0.9200  1 Nb 2.50

Properties
Space group = R-3m, No. 166
Formation energy from raw total energies = 0.053 eV/atom
DOS(E_F) = 3.61 states/eV per cell

=====

Entry 5:
The following is a DFT calculation (PBE-GGA) of a relaxed structure of NbPbBr2.

a = 5.0869 Å, b = 5.0869 Å, c = 5.0869 Å
α = 60.00°, β = 60.00°, γ = 60.00°
With the nearest neighbours (Å) after each atom.
Sites, in units of the cell vectors:
Nb  0.0000  0.0000  0.0000  8 Br 3.12
Pb  0.5000  0.5000  0.5000  8 Br 3.12
Br  0.2500  0.2500  0.2500  4 Nb 3.12, 4 Pb 3.12
Br  0.7500  0.7500  0.7500  4 Nb 3.12, 4 Pb 3.12

Properties
Space group = Fm-3m, No. 225
Formation energy from raw total energies = 0.419 eV/atom
DOS(E_F) = 3.35 states/eV per cell

=====

Entry 6:
The following is a DFT calculation (PBE-GGA) of a relaxed structure of Nb4PbBr7.

a = 3.5872 Å, b = 9.7779 Å, c = 21.5907 Å
α = 90.06°, β = 90.00°, γ = 90.01°
With the nearest neighbours (Å) after each atom.
Sites, in units of the cell vectors:
Nb  0.0000  0.0000  0.0000  4 Br 2.59-2.89, 3 Nb 2.65-2.83
Nb  0.9999  0.0001  0.3589  4 Br 2.59-2.89, 3 Nb 2.65-2.83
Nb  0.0006  0.7467  0.4019  5 Nb 2.65-2.90, 3 Br 2.76-2.78
Nb  0.0005  0.7466  0.9569  5 Nb 2.65-2.90, 3 Br 2.76-2.78
Nb  0.4971  0.6918  0.5001  4 Br 2.58-2.89, 3 Nb 2.65-2.84
Nb  0.4972  0.6919  0.8587  4 Br 2.58-2.89, 3 Nb 2.65-2.84
Nb  0.5008  0.9455  0.9018  5 Nb 2.65-2.90, 3 Br 2.76-2.78
Nb  0.5009  0.9456  0.4572  5 Nb 2.65-2.90, 3 Br 2.76-2.78
Pb  0.4548  0.4086  0.6795  4 Br 2.83-3.16
Pb  0.9563  0.2801  0.1794  4 Br 2.85-3.15
Br  0.0017  0.1598  0.4613  3 Nb 2.71-2.76
Br  0.0016  0.1596  0.8977  3 Nb 2.71-2.76
Br  0.4557  0.5062  0.1795  2 Pb 2.85
Br  0.4969  0.1835  0.0631  2 Nb 2.87-2.89, 1 Pb 3.15
Br  0.4968  0.1836  0.2959  2 Nb 2.87-2.89, 1 Pb 3.15
Br  0.4983  0.8833  0.5827  2 Nb 2.58-2.78
Br  0.4983  0.8833  0.7763  2 Nb 2.58-2.78
Br  0.5012  0.5328  0.3974  3 Nb 2.71-2.76
Br  0.5011  0.5327  0.9612  3 Nb 2.71-2.76
Br  0.9511  0.1841  0.6794  2 Pb 2.83-2.84
Br  0.9937  0.5070  0.5629  2 Nb 2.88-2.89, 1 Pb 3.16
Br  0.9937  0.5072  0.7958  2 Nb 2.88-2.89, 1 Pb 3.16
Br  0.9992  0.8084  0.0825  2 Nb 2.59-2.78
Br  0.9990  0.8084  0.2763  2 Nb 2.59-2.78

Properties
Space group = P1, No. 1
Formation energy from raw total energies = -0.562 eV/atom
DOS(E_F) = 10.54 states/eV per cell

=====

Entry 7:
The following is a DFT calculation (PBE-GGA) of a relaxed structure of NbPbBr2.

a = 11.7559 Å, b = 11.7559 Å, c = 11.7559 Å
α = 16.49°, β = 16.49°, γ = 16.49°
With the nearest neighbours (Å) after each atom.
Sites, in units of the cell vectors:
Nb  0.0000  0.0000  0.0000  6 Br 2.70
Pb  0.5000  0.5000  0.5000  6 Pb 3.37
Br  0.3870  0.3870  0.3870  3 Nb 2.70
Br  0.6130  0.6130  0.6130  3 Nb 2.70

Properties
Space group = R-3m, No. 166
Formation energy from raw total energies = -0.329 eV/atom
DOS(E_F) = 2.81 states/eV per cell

=====

Entry 8:
The following is a DFT calculation (PBE-GGA) of a relaxed structure of Nb2RePbBr.

a = 5.4180 Å, b = 5.4180 Å, c = 5.4369 Å
α = 90.00°, β = 90.00°, γ = 90.00°
With the nearest neighbours (Å) after each atom.
Sites, in units of the cell vectors:
Nb  0.0000  0.5000  0.0000  2 Pb 2.71
Nb  0.5000  0.0000  0.0000  2 Pb 2.71
Re  0.0000  0.0000  0.5000  4 Br 3.83, 8 Nb 3.84
Pb  0.5000  0.5000  0.0000  4 Nb 2.71, 2 Br 2.72
Br  0.5000  0.5000  0.5000  2 Pb 2.72

Properties
Space group = P4/mmm, No. 123
Formation energy from raw total energies = 2.591 eV/atom
DOS(E_F) = 9.73 states/eV per cell

=====

Entry 9:
The following is a DFT calculation (PBE-GGA) of a relaxed structure of ScNbPb2Br.

a = 5.5641 Å, b = 5.5641 Å, c = 5.2319 Å
α = 90.00°, β = 90.00°, γ = 90.00°
With the nearest neighbours (Å) after each atom.
Sites, in units of the cell vectors:
Sc  0.0000  0.0000  0.0000  2 Nb 2.62
Nb  0.0000  0.0000  0.5000  2 Sc 2.62, 4 Pb 2.78
Pb  0.0000  0.5000  0.5000  2 Nb 2.78
Pb  0.5000  0.0000  0.5000  2 Nb 2.78
Br  0.5000  0.5000  0.0000  8 Pb 3.82, 4 Sc 3.93

Properties
Space group = P4/mmm, No. 123
Formation energy from raw total energies = 0.273 eV/atom
DOS(E_F) = 3.40 states/eV per cell

=====

Entry 10:
The following is a DFT calculation (PBE-GGA) of a relaxed structure of Nb2SnPbBr.

a = 5.3450 Å, b = 5.3450 Å, c = 6.1721 Å
α = 90.00°, β = 90.00°, γ = 90.00°
With the nearest neighbours (Å) after each atom.
Sites, in units of the cell vectors:
Nb  0.0000  0.5000  0.0000  2 Br 2.67
Nb  0.5000  0.0000  0.0000  2 Br 2.67
Sn  0.0000  0.0000  0.5000  4 Pb 3.78, 8 Nb 4.08
Pb  0.5000  0.5000  0.5000  2 Br 3.09
Br  0.5000  0.5000  0.0000  4 Nb 2.67

Properties
Space group = P4/mmm, No. 123
Formation energy from raw total energies = 1.424 eV/atom
DOS(E_F) = 5.95 states/eV per cell